<A>
Compound: HfCuAsIr
Source: OQMD via LeMat-Bulk
Functional: PBE
Structure: optimized geometry

## Properties
**Spin magnetization**: 0.00 μB per cell

abc: 4.5183 4.5183 4.5183
angles: 60.00 60.00 60.00
Closest atoms and distances in Å follow each position.
Fractional coordinates of all 4 atoms:
Hf: 0.2500 0.2500 0.2500  4 Ir 2.77, 4 As 2.77
Cu: 0.7500 0.7500 0.7500  4 Ir 2.77, 4 As 2.77
As: 0.0000 0.0000 0.0000  4 Hf 2.77, 4 Cu 2.77
Ir: 0.5000 0.5000 0.5000  4 Hf 2.77, 4 Cu 2.77


<B>
Compound: HfCuAsIr
Source: OQMD via LeMat-Bulk
Functional: PBE
Structure: optimized geometry

## Properties
**Spin magnetization**: 0.00 μB per cell

abc: 4.5079 4.5079 4.5079
angles: 60.00 60.00 60.00
Closest atoms and distances in Å follow each position.
Fractional coordinates of all 4 atoms:
Ir: 0.2500 0.2500 0.2500  4 Hf 2.76, 4 As 2.76
As: 0.0000 0.0000 0.0000  4 Ir 2.76, 4 Cu 2.76
Cu: 0.7500 0.7500 0.7500  4 Hf 2.76, 4 As 2.76
Hf: 0.5000 0.5000 0.5000  4 Ir 2.76, 4 Cu 2.76


Most stable = <B>


<A>
Compound: HfZnCuAs
Source: OQMD via LeMat-Bulk
Functional: PBE
Structure: optimized geometry

## Properties
**Spin magnetization**: 0.00 μB per cell

abc: 4.5835 4.5835 4.5835
angles: 60.00 60.00 60.00
Closest atoms and distances in Å follow each position.
Fractional coordinates of all 4 atoms:
Zn: 0.2500 0.2500 0.2500  4 Hf 2.81, 4 As 2.81
As: 0.0000 0.0000 0.0000  4 Cu 2.81, 4 Zn 2.81
Hf: 0.5000 0.5000 0.5000  4 Cu 2.81, 4 Zn 2.81
Cu: 0.7500 0.7500 0.7500  4 Hf 2.81, 4 As 2.81


<B>
Compound: HfZnCuAs
Source: OQMD via LeMat-Bulk
Functional: PBE
Structure: optimized geometry

## Properties
**Spin magnetization**: 0.00 μB per cell

abc: 4.5455 4.5455 4.5455
angles: 60.00 60.00 60.00
Closest atoms and distances in Å follow each position.
Fractional coordinates of all 4 atoms:
Hf: 0.2500 0.2500 0.2500  4 Zn 2.78, 4 As 2.78
Zn: 0.5000 0.5000 0.5000  4 Cu 2.78, 4 Hf 2.78
As: 0.0000 0.0000 0.0000  4 Hf 2.78, 4 Cu 2.78
Cu: 0.7500 0.7500 0.7500  4 As 2.78, 4 Zn 2.78


Most stable = <B>